GGA-PBE Hf4Sc2P3N3, optimized geometry; M_tot = 0.008 μB/cell; SG = C2/c, No. 15; calculated total energy = -9.288 eV per atom
1.0
-1.7855 -1.5580 5.3025
-1.2390 -5.5611 1.1275
12.3357 0.5212 1.1151
Hf N P Sc
8 6 6 4
Cartesian
0.8698 -0.4389 1.2324
-1.1395 -5.1921 5.4950
4.1929 -1.0070 2.1802
2.1793 -5.7287 6.4757
7.1319 -0.8692 1.0694
5.1183 -5.5910 5.3648
10.4508 -1.4058 2.0500
8.4415 -6.1590 6.3127
-0.8927 -0.7790 2.6513
-1.9072 -3.1453 4.8203
-1.1172 -3.9738 1.6097
4.5384 -4.9189 3.2562
5.5484 -2.5200 1.1213
4.7729 -1.6790 4.2888
2.1112 -2.5764 2.0829
1.3447 -1.7661 5.2283
1.1220 -4.9394 4.2191
8.1893 -1.6586 3.3260
7.9666 -4.8318 2.3167
7.2001 -4.0215 5.4621
-0.1415 -2.8376 3.3680
3.1949 -3.3616 4.3072
6.1163 -3.2363 3.2379
9.4528 -3.7604 4.1770